Arrangement A

Density functional theory data (PBE-GGA) for a geometry-optimized SrTl3Pd3 structure.

Summary:
The value obtained for the density of states at the Fermi level is 0.2489 states/eV/atom.

The structure in POSCAR format:
```
SrTl3Pd3
1.0
4.4743 0.0000 0.0000
0.0000 8.3572 -4.7715
0.0000 -0.0472 9.6226
Sr Tl Pd
2 6 6
Direct
0.7500 0.3333 0.6666
0.2500 0.6667 0.3334
0.7500 0.7592 0.0667
0.7500 0.3074 0.2408
0.7500 0.9333 0.6926
0.2500 0.2408 0.9333
0.2500 0.6926 0.7592
0.2500 0.0667 0.3074
0.7500 0.9566 0.4000
0.7500 0.4434 0.0434
0.7500 0.6000 0.5566
0.2500 0.0434 0.6000
0.2500 0.5566 0.9566
0.2500 0.4000 0.4434
```

Arrangement B

Density functional theory data (PBE-GGA) for a geometry-optimized SrTl3Pd3 structure.

Summary:
The value obtained for the density of states at the Fermi level is 0.5394 states/eV/atom.

The structure in POSCAR format:
```
SrTl3Pd3
1.0
-7.1756 -1.9887 -1.1500
1.7120 -7.1441 1.6725
-1.5319 1.3316 7.2558
Sr Tl Pd
2 6 6
Direct
0.5000 0.5000 0.5000
0.0000 0.0000 0.0000
0.2500 0.0000 0.5000
0.0000 0.5000 0.2500
0.5000 0.7500 0.0000
0.7500 0.0000 0.5000
0.0000 0.5000 0.7500
0.5000 0.2500 0.0000
0.0000 0.2500 0.5000
0.0000 0.7500 0.5000
0.5000 0.0000 0.7500
0.7500 0.5000 0.0000
0.5000 0.0000 0.2500
0.2500 0.5000 0.0000
```

Arrangement C

Density functional theory data (PBE-GGA) for a geometry-optimized SrTl3Pd3 structure.

Summary:
The value obtained for the density of states at the Fermi level is 0.4818 states/eV/atom.

The structure in POSCAR format:
```
SrTl3Pd3
1.0
-3.2791 -1.5315 -7.9613
-7.8795 -3.6982 -0.8464
-6.0395 3.1986 -2.9310
Sr Tl Pd
2 6 6
Direct
0.3268 0.3268 0.0197
0.6732 0.6732 0.9803
0.4120 0.8177 0.6285
0.8177 0.1418 0.6285
0.1418 0.4120 0.6285
0.8582 0.5880 0.3715
0.1823 0.8582 0.3715
0.5880 0.1823 0.3715
0.2348 0.6642 0.1373
0.9637 0.2348 0.1373
0.6642 0.9637 0.1373
0.3358 0.0363 0.8627
0.0363 0.7652 0.8627
0.7652 0.3358 0.8627
```

arrangement A (59 meV per atom below the next structure)